1.
Pr6PSe3S2 after structural relaxation, computed with PBE.

## Properties
Fermi-level density of states: 0.444 states/eV per atom
raw formation energy: -1.89 eV per atom
M_tot: 0.00 Bohr magnetons per cell
E_tot: -75.52 eV/cell
symmetry: C2/m

a b c (Å): 7.239 7.239 7.371
angles (deg): 99.40 99.40 120.03
Element x y z (fractional)
1 Se 0.500 0.500 0.500
2 Se 0.167 0.833 0.500
3 Se 0.833 0.167 0.500
4 S 0.667 0.333 0.000
5 S 0.333 0.667 0.000
6 Pr 0.405 0.077 0.229
7 Pr 0.747 0.747 0.229
8 Pr 0.077 0.405 0.229
9 Pr 0.923 0.595 0.771
10 Pr 0.253 0.253 0.771
11 Pr 0.595 0.923 0.771
12 P 0.000 0.000 0.000



2.
NaTmP after structural relaxation, computed with PBE.

## Properties
E_form: -0.706 eV per atom
Fermi-level density of states: 0.126 states/eV per atom
M_tot: 0.00 Bohr magnetons per cell
E_tot: -26.63 eV/cell
symmetry: R-3m

a b c (Å): 4.489 4.489 10.666
angles (deg): 77.85 77.85 60.00
Element x y z (fractional)
1 Na 0.119 0.119 0.642
2 Na 0.881 0.881 0.358
3 P 0.391 0.391 0.827
4 P 0.609 0.609 0.173
5 Tm 0.297 0.297 0.110
6 Tm 0.703 0.703 0.890



3.
Zr2IrPt after structural relaxation, computed with PBE.

## Properties
E_form: -0.859 eV per atom
Fermi-level density of states: 0.862 states/eV per atom
M_tot: 0.00 Bohr magnetons per cell
E_tot: -70.87 eV/cell
symmetry: Fmmm

a b c (Å): 5.861 5.730 5.730
angles (deg): 69.97 71.29 108.71
Element x y z (fractional)
1 Zr 0.500 0.750 0.250
2 Zr 0.500 0.250 0.750
3 Zr 0.000 0.732 0.768
4 Zr 0.000 0.268 0.232
5 Pt 0.424 0.211 0.289
6 Pt 0.576 0.789 0.711
7 Ir 0.000 0.254 0.754
8 Ir 0.000 0.746 0.246



4.
Li3Mg3Pb after structural relaxation, computed with PBE.

## Properties
E_form: -0.074 eV per atom
Fermi-level density of states: 0.429 states/eV per atom
M_tot: 0.00 Bohr magnetons per cell
E_tot: -59.01 eV/cell
symmetry: P2_13

a b c (Å): 8.509 8.509 8.509
angles (deg): 90.00 90.00 90.00
Element x y z (fractional)
1 Pb 0.866 0.134 0.634
2 Pb 0.134 0.634 0.866
3 Pb 0.366 0.366 0.366
4 Pb 0.634 0.866 0.134
5 Mg 0.832 0.332 0.168
6 Mg 0.167 0.167 0.167
7 Mg 0.963 0.963 0.963
8 Mg 0.168 0.832 0.332
9 Mg 0.668 0.668 0.668
10 Mg 0.333 0.833 0.667
11 Mg 0.332 0.168 0.832
12 Mg 0.833 0.667 0.333
13 Mg 0.667 0.333 0.833
14 Mg 0.463 0.537 0.037
15 Mg 0.537 0.037 0.463
16 Mg 0.037 0.463 0.537
17 Li 0.323 0.872 0.023
18 Li 0.023 0.323 0.872
19 Li 0.677 0.372 0.477
20 Li 0.372 0.477 0.677
21 Li 0.823 0.628 0.977
22 Li 0.628 0.977 0.823
23 Li 0.977 0.823 0.628
24 Li 0.523 0.177 0.128
25 Li 0.177 0.128 0.523
26 Li 0.128 0.523 0.177
27 Li 0.477 0.677 0.372
28 Li 0.872 0.023 0.323



5.
YPu2Au6 after structural relaxation, computed with PBE.

## Properties
E_form: -0.568 eV per atom
Fermi-level density of states: 2.398 states/eV per atom
M_tot: 11.53 Bohr magnetons per cell
E_tot: -59.90 eV/cell
symmetry: P6/mmm

a b c (Å): 3.215 8.378 8.378
angles (deg): 60.00 90.00 90.00
Each line ends with the local moment (μB).
Element x y z (fractional)
1 Pu 0.000 0.333 0.333  -5.43
2 Pu 0.000 0.667 0.667  -5.43
3 Au 0.500 0.000 0.332  -0.01
4 Au 0.500 0.668 0.000  -0.01
5 Au 0.500 0.332 0.668  -0.01
6 Au 0.500 0.668 0.332  -0.01
7 Au 0.500 0.332 0.000  -0.01
8 Au 0.500 0.000 0.668  -0.01
9 Y 0.000 0.000 0.000  0.07



6.
CeSmCuSe4 after structural relaxation, computed with PBE.

## Properties
Fermi-level density of states: 1.115 states/eV per atom
raw formation energy: -1.35 eV per atom
M_tot: 1.61 Bohr magnetons per cell
E_tot: -76.34 eV/cell
symmetry: P2_1/m

a b c (Å): 7.010 6.040 8.214
angles (deg): 90.00 106.90 90.00
Each line ends with the local moment (μB).
Element x y z (fractional)
1 Ce 0.743 0.750 0.437  0.76
2 Ce 0.257 0.250 0.563  0.76
3 Cu 0.257 0.750 0.316  0.00
4 Cu 0.743 0.250 0.684  0.00
5 Se 0.427 0.750 0.612  -0.01
6 Se 0.570 0.250 0.895  -0.01
7 Se 0.986 0.010 0.244  0.00
8 Se 0.573 0.250 0.388  -0.01
9 Se 0.986 0.490 0.244  0.00
10 Se 0.430 0.750 0.105  -0.01
11 Se 0.014 0.990 0.756  0.00
12 Se 0.014 0.510 0.756  0.00
13 Sm 0.741 0.750 0.935  0.01
14 Sm 0.259 0.250 0.065  0.01



> Among the records above, which one has the highest Fermi-level density of states?

YPu2Au6